# K5P3

A geometry-optimized K5P3 structure (PBEsol, Alexandria).

The formation energy is 56 meV per atom. The calculation puts the density of states at the Fermi level at 0.1153 states/eV/atom. Its magnetic moment is 0.00 μB per formula unit.

a b c (Å): 4.536 6.839 6.839
angles (deg): 93.42 90.00 90.00
Fractional coordinates of all 8 atoms:
K (0.000, 0.000, 0.000)
K (0.000, 0.500, 0.000)
K (0.000, 0.000, 0.500)
K (0.500, 0.717, 0.283)
K (0.500, 0.283, 0.717)
P (0.000, 0.500, 0.500)
P (0.500, 0.736, 0.736)
P (0.500, 0.264, 0.264)

# AsOsSe2O

A geometry-optimized AsOsSe2O structure (PBEsol, Alexandria).

The calculation puts the density of states at the Fermi level at 0.4870 states/eV/atom. Its magnetic moment is 0.00 μB per formula unit. The raw formation energy comes out at 0.830 eV/atom. As for the distance to the lowest polymorph of the same formula: 0 meV per atom.

a b c (Å): 4.144 4.307 4.307
angles (deg): 90.00 90.00 90.00
Fractional coordinates of all 5 atoms:
As (0.500, 0.000, 0.000)
Os (0.500, 0.500, 0.500)
O (0.000, 0.000, 0.000)
Se (0.000, 0.000, 0.500)
Se (0.000, 0.500, 0.000)

# MoRu

A geometry-optimized MoRu structure (PBEsol, Alexandria).

The formation energy is 182 meV per atom. The calculation puts the density of states at the Fermi level at 1.0017 states/eV/atom. Its magnetic moment is 0.00 μB per formula unit.

a b c (Å): 2.675 4.090 5.357
angles (deg): 90.00 100.16 90.00
Fractional coordinates of all 4 atoms:
Mo (0.808, 0.750, 0.865)
Mo (0.192, 0.250, 0.135)
Ru (0.309, 0.250, 0.627)
Ru (0.691, 0.750, 0.373)

# Nb2AlBr2

A geometry-optimized Nb2AlBr2 structure (PBEsol, Alexandria).

The calculation puts the density of states at the Fermi level at 0.7194 states/eV/atom. Its magnetic moment is 0.00 μB per formula unit. The raw formation energy comes out at 0.397 eV/atom.

a b c (Å): 4.125 4.125 6.770
angles (deg): 107.73 107.73 90.00
Fractional coordinates of all 5 atoms:
Nb (0.395, 0.395, 0.789)
Nb (0.605, 0.605, 0.211)
Al (0.000, 0.000, 0.000)
Br (0.250, 0.750, 0.500)
Br (0.750, 0.250, 0.500)

# Li2CrCuGe

A geometry-optimized Li2CrCuGe structure (PBEsol, Alexandria).

The formation energy is 1017 meV per atom. The calculation puts the density of states at the Fermi level at 0.4176 states/eV/atom. Its magnetic moment is 4.50 μB per formula unit.

a b c (Å): 4.544 4.544 4.577
angles (deg): 90.00 90.00 90.00
Site moments in Bohr magnetons follow the coordinates.
Fractional coordinates of all 5 atoms:
Cr (0.000, 0.000, 0.000)  3.90
Ge (0.500, 0.500, 0.500)  -0.10
Cu (0.000, 0.000, 0.500)  0.16
Li (0.000, 0.500, 0.000)  0.04
Li (0.500, 0.000, 0.000)  0.04

# Mg3TcOs

A geometry-optimized Mg3TcOs structure (PBEsol, Alexandria).

The formation energy is 1844 meV per atom. The calculation puts the density of states at the Fermi level at 1.1725 states/eV/atom. Its magnetic moment is 3.04 μB per formula unit.

a b c (Å): 4.762 4.762 4.762
angles (deg): 90.00 90.00 90.00
Site moments in Bohr magnetons follow the coordinates.
Fractional coordinates of all 5 atoms:
Mg (0.000, 0.500, 0.000)  -0.01
Mg (0.000, 0.000, 0.500)  -0.01
Mg (0.500, 0.000, 0.000)  -0.01
Os (0.500, 0.500, 0.500)  2.13
Tc (0.000, 0.000, 0.000)  0.78

# BaZrSb2

A geometry-optimized BaZrSb2 structure (PBEsol, Alexandria).

The calculation puts the density of states at the Fermi level at 0.9885 states/eV/atom. Its magnetic moment is 0.69 μB per formula unit. The raw formation energy comes out at -0.397 eV/atom. As for the distance to the lowest polymorph of the same formula: 413 meV per atom.

a b c (Å): 5.402 5.402 5.402
angles (deg): 60.00 60.00 60.00
Site moments in Bohr magnetons follow the coordinates.
Fractional coordinates of all 4 atoms:
Ba (0.500, 0.500, 0.500)  0.05
Sb (0.250, 0.250, 0.250)  -0.02
Sb (0.750, 0.750, 0.750)  -0.02
Zr (0.000, 0.000, 0.000)  0.39

# YHfTc2Au

A geometry-optimized YHfTc2Au structure (PBEsol, Alexandria).

The formation energy is 1334 meV per atom. The calculation puts the density of states at the Fermi level at 1.3612 states/eV/atom. Its magnetic moment is 2.28 μB per formula unit.

a b c (Å): 4.831 4.922 4.922
angles (deg): 90.00 90.00 90.00
Site moments in Bohr magnetons follow the coordinates.
Fractional coordinates of all 5 atoms:
Y (0.500, 0.500, 0.500)  -0.08
Hf (0.500, 0.000, 0.000)  -0.22
Au (0.000, 0.000, 0.000)  0.17
Tc (0.000, 0.000, 0.500)  1.14
Tc (0.000, 0.500, 0.000)  1.14

# AgRhOF2

A geometry-optimized AgRhOF2 structure (PBEsol, Alexandria).

The calculation puts the density of states at the Fermi level at 1.8454 states/eV/atom. Its magnetic moment is 2.58 μB per formula unit. The raw formation energy comes out at 0.161 eV/atom.

a b c (Å): 4.008 4.158 4.158
angles (deg): 90.00 90.00 90.00
Site moments in Bohr magnetons follow the coordinates.
Fractional coordinates of all 5 atoms:
Rh (0.500, 0.500, 0.500)  2.03
O (0.500, 0.000, 0.000)  0.29
Ag (0.000, 0.000, 0.000)  0.05
F (0.000, 0.000, 0.500)  0.04
F (0.000, 0.500, 0.000)  0.04

# SrMgRu2

A geometry-optimized SrMgRu2 structure (PBEsol, Alexandria).

The formation energy is 699 meV per atom. The calculation puts the density of states at the Fermi level at 0.9955 states/eV/atom. Its magnetic moment is 1.83 μB per formula unit.

a b c (Å): 2.893 2.893 8.601
angles (deg): 90.00 90.00 90.00
Site moments in Bohr magnetons follow the coordinates.
Fractional coordinates of all 4 atoms:
Mg (0.500, 0.500, 0.500)  -0.01
Ru (0.000, 0.000, 0.720)  0.91
Ru (0.000, 0.000, 0.280)  0.91
Sr (0.500, 0.500, 0.000)  -0.04

# FePAuCl2

A geometry-optimized FePAuCl2 structure (PBEsol, Alexandria).

The calculation puts the density of states at the Fermi level at 1.1012 states/eV/atom. Its magnetic moment is 3.88 μB per formula unit. The raw formation energy comes out at 0.926 eV/atom.

a b c (Å): 4.845 4.853 4.853
angles (deg): 90.00 90.00 90.00
Site moments in Bohr magnetons follow the coordinates.
Fractional coordinates of all 5 atoms:
P (0.500, 0.000, 0.000)  0.01
Au (0.000, 0.000, 0.000)  -0.01
Fe (0.500, 0.500, 0.500)  3.47
Cl (0.000, 0.000, 0.500)  0.04
Cl (0.000, 0.500, 0.000)  0.04

# Na2LaCuTe

A geometry-optimized Na2LaCuTe structure (PBEsol, Alexandria).

The calculation puts the density of states at the Fermi level at 0.8941 states/eV/atom. Its magnetic moment is 0.00 μB per formula unit. The raw formation energy comes out at -0.143 eV/atom.

a b c (Å): 4.998 4.998 5.620
angles (deg): 90.00 90.00 90.00
Fractional coordinates of all 5 atoms:
Na (0.000, 0.500, 0.000)
Na (0.500, 0.000, 0.000)
Te (0.500, 0.500, 0.500)
Cu (0.000, 0.000, 0.000)
La (0.000, 0.000, 0.500)